[1]
Crystalline TcRu3F at its relaxed geometry, computed with PBE.

E_tot = -34.77 eV per formula unit
Symmetry = Pm-3m (221)
Relative energy among the computed polymorphs = 0.0000 eV per atom

abc: 4.142 4.142 4.142
angles: 90.00 90.00 90.00
Site moments in Bohr magnetons follow the coordinates.
Element x y z (fractional)
Ru1 0.000 0.500 0.000  -0.05
Ru2 0.000 0.000 0.500  0.00
Ru3 0.500 0.000 0.000  -0.04
Tc1 0.500 0.500 0.500  1.30
F1 0.000 0.000 0.000  0.01

=====

[2]
Crystalline Sm6Co2BrCl3 at its relaxed geometry, computed with PBE.

E_tot = -61.18 eV per formula unit
Symmetry = C2/m (12)

abc: 3.896 8.239 10.031
angles: 99.27 101.20 90.00
Element x y z (fractional)
Sm1 0.324 0.896 0.648
Sm2 0.681 0.561 0.361
Sm3 0.676 0.104 0.352
Sm4 0.038 0.281 0.076
Sm5 0.962 0.719 0.924
Sm6 0.319 0.439 0.639
Co1 0.825 0.676 0.649
Co2 0.175 0.324 0.351
Br1 0.500 0.000 0.000
Cl1 0.500 0.500 0.000
Cl2 0.880 0.201 0.760
Cl3 0.120 0.799 0.240

=====

[3]
Crystalline Mn2AgTe at its relaxed geometry, computed with PBE.

E_tot = -23.16 eV per formula unit
Symmetry = Pmmm (47)

abc: 3.609 3.555 6.820
angles: 58.56 90.00 90.00
Site moments in Bohr magnetons follow the coordinates.
Element x y z (fractional)
Ag1 0.500 0.750 0.750  0.01
Mn1 0.000 0.004 0.996  3.76
Mn2 0.000 0.496 0.504  3.76
Te1 0.500 0.250 0.250  -0.03

=====

[4]
Crystalline LaYO2F at its relaxed geometry, computed with PBE.

E_tot = -35.09 eV per formula unit
Symmetry = P4/mmm (123)

abc: 4.642 4.642 4.574
angles: 90.00 90.00 90.00
Site moments in Bohr magnetons follow the coordinates.
Element x y z (fractional)
Y1 0.500 0.500 0.500  0.44
F1 0.000 0.000 0.500  0.01
O1 0.000 0.500 0.000  -0.01
O2 0.500 0.000 0.000  -0.01
La1 0.000 0.000 0.000  0.00

=====

[5]
Crystalline ZrGe2H at its relaxed geometry, computed with PBE.

E_tot = -19.12 eV per formula unit
Symmetry = Fm-3m (225)
Relative energy among the computed polymorphs = 0.1919 eV per atom

abc: 4.588 4.588 4.588
angles: 60.00 60.00 60.00
Element x y z (fractional)
H1 0.000 0.000 0.000
Ge1 0.250 0.250 0.250
Ge2 0.750 0.750 0.750
Zr1 0.500 0.500 0.500

=====

[6]
Crystalline TbPm2Y4 at its relaxed geometry, computed with PBE.

Energy of formation from the pure elements = 0.040 eV/atom
E_tot = -39.71 eV per formula unit
Symmetry = C2/m (12)
Relative energy among the computed polymorphs = 0.0000 eV per atom

abc: 3.573 8.821 8.653
angles: 119.26 101.91 90.03
Element x y z (fractional)
Tb1 0.000 0.000 0.000
Pm1 0.069 0.430 0.139
Pm2 0.931 0.570 0.861
Y1 0.296 0.707 0.590
Y2 0.356 0.157 0.711
Y3 0.704 0.293 0.410
Y4 0.644 0.843 0.289